No. 1
NdTmScHg (PBE, relaxed); calculated volume = 108 Å³/f.u.; calculated density = 8.56 g cm⁻³; ΔE_f = -0.07 eV/atom; magnetization = 0.53 μB per formula unit
1.0
0.0000 3.7850 3.7850
3.7850 0.0000 3.7850
3.7850 3.7850 0.0000
Nd Tm Sc Hg
1 1 1 1
Cartesian
0.0000 0.0000 0.0000 Nd
3.7850 3.7850 3.7850 Tm
1.8925 1.8925 1.8925 Sc
5.6775 5.6775 5.6775 Hg

No. 2
Hg2AsW (PBE, relaxed); calculated volume = 81 Å³/f.u.; calculated density = 13.55 g cm⁻³; ΔE_f = 0.70 eV/atom; magnetization = 0.00 μB per formula unit
1.0
1.4308 -2.6574 0.0000
1.4308 2.6574 0.0000
0.0000 0.0000 10.6351
Hg As W
2 1 1
Cartesian
0.0000 0.0000 2.5462 Hg
0.0000 0.0000 8.0889 Hg
1.4308 0.0000 5.3176 As
1.4308 0.0000 0.0000 W

No. 3
ErIr3 (PBE, relaxed); calculated volume = 66 Å³/f.u.; calculated density = 18.60 g cm⁻³; ΔE_f = -0.33 eV/atom; magnetization = 0.00 μB per formula unit
1.0
-2.0272 2.0272 4.0401
2.0272 -2.0272 4.0401
2.0272 2.0272 -4.0401
Er Ir
1 3
Cartesian
0.0000 0.0000 0.0000 Er
2.0272 0.0000 2.0200 Ir
0.0000 0.0000 4.0401 Ir
0.0000 2.0272 2.0200 Ir

No. 4
TiCrSeN2 (PBE, relaxed); energy relative to the lowest polymorph listed for this composition = 0.000 eV/atom; calculated volume = 69 Å³/f.u.; calculated density = 4.99 g cm⁻³; formation energy without anion corrections = 0.210 eV per atom; magnetization = 1.62 μB per formula unit
1.0
3.6873 0.0000 0.0000
0.0000 3.6873 0.0000
0.0000 0.0000 5.0633
Ti Cr Se N
1 1 1 2
Cartesian
0.0000 0.0000 0.0000 Ti
1.8437 1.8437 2.5316 Cr
1.8437 1.8437 0.0000 Se
0.0000 1.8437 2.5316 N
1.8437 0.0000 2.5316 N

No. 5
BaAu3 (PBE, relaxed); calculated volume = 103 Å³/f.u.; calculated density = 11.74 g cm⁻³; ΔE_f = -0.36 eV/atom; magnetization = 0.00 μB per formula unit
1.0
5.9056 0.0000 0.0000
0.0000 5.9056 0.0000
0.0000 0.0000 5.9056
Ba Au
2 6
Cartesian
0.0000 0.0000 0.0000 Ba
2.9528 2.9528 2.9528 Ba
0.0000 1.4764 2.9528 Au
0.0000 4.4292 2.9528 Au
1.4764 2.9528 0.0000 Au
2.9528 0.0000 1.4764 Au
2.9528 0.0000 4.4292 Au
4.4292 2.9528 0.0000 Au

No. 6
TaCr2Br (PBE, relaxed); energy relative to the lowest polymorph listed for this composition = 0.402 eV/atom; calculated volume = 62 Å³/f.u.; calculated density = 9.77 g cm⁻³; formation energy without anion corrections = 0.711 eV per atom; magnetization = 0.82 μB per formula unit
1.0
-1.5431 2.1963 4.5748
1.5431 -2.1963 4.5748
1.5431 2.1963 -4.5748
Ta Cr Br
1 2 1
Cartesian
0.0000 0.0000 0.0000 Ta
0.0000 0.0000 4.6179 Cr
0.0000 2.1963 2.1485 Cr
1.5431 0.0000 2.5524 Br

No. 7
Li12AgAu3 (PBE, relaxed); calculated volume = 257 Å³/f.u.; calculated density = 5.06 g cm⁻³; ΔE_f = -0.31 eV/atom; magnetization = 0.00 μB per formula unit
1.0
3.9579 0.0000 0.0000
0.0000 3.9579 0.0000
0.0000 0.0000 16.3814
Li Ag Au
12 1 3
Cartesian
0.0000 0.0000 0.0000 Li
0.0000 0.0000 4.0435 Li
0.0000 0.0000 8.1907 Li
0.0000 0.0000 12.3378 Li
0.0000 1.9790 2.0224 Li
0.0000 1.9790 6.0519 Li
0.0000 1.9790 10.3295 Li
0.0000 1.9790 14.3590 Li
1.9790 0.0000 2.0224 Li
1.9790 0.0000 6.0519 Li
1.9790 0.0000 10.3295 Li
1.9790 0.0000 14.3590 Li
1.9790 1.9790 8.1907 Ag
1.9790 1.9790 0.0000 Au
1.9790 1.9790 4.0619 Au
1.9790 1.9790 12.3195 Au

No. 8
CdP2Ru (PBE, relaxed); calculated volume = 63 Å³/f.u.; calculated density = 7.29 g cm⁻³; ΔE_f = 0.44 eV/atom; magnetization = 0.00 μB per formula unit
1.0
4.3605 0.0000 0.0000
0.0000 4.3605 0.0000
0.0000 0.0000 3.2994
Cd P Ru
1 2 1
Cartesian
0.0000 0.0000 0.0000 Cd
0.0000 2.1802 1.6497 P
2.1802 0.0000 1.6497 P
2.1802 2.1802 0.0000 Ru